The following is a DFT calculation (PBE) of a geometry-optimized TbTm2CuSe5 structure.

Cell: 3.9493 9.0302 11.8756 Å, 90.00 90.00 102.63°
Element x y z (fractional)
Tb 0.8079 0.6157 0.5101
Tb 0.1921 0.3843 0.0101
Tm 0.8815 0.7630 0.8049
Tm 0.1054 0.2107 0.6826
Tm 0.1185 0.2370 0.3049
Tm 0.8946 0.7893 0.1826
Cu 0.5641 0.1283 0.9568
Cu 0.4359 0.8717 0.4568
Se 0.3576 0.7151 0.0011
Se 0.6805 0.3610 0.8378
Se 0.4976 0.9951 0.7811
Se 0.2904 0.5808 0.6822
Se 0.9595 0.9191 0.5674
Se 0.6424 0.2849 0.5011
Se 0.3195 0.6390 0.3378
Se 0.5024 0.0049 0.2811
Se 0.7096 0.4192 0.1822
Se 0.0405 0.0809 0.0674

Values from the calculation:
- symmetry = No. 36
- size of the total moment (μB per cell) = 0.000


The following is a DFT calculation (PBE) of a geometry-optimized CuTcSe structure.

Cell: 7.0621 6.8121 2.8503 Å, 83.11 73.26 23.62°
Element x y z (fractional)
Cu 0.0129 0.0129 0.9871
Se 0.3174 0.3174 0.6826
Tc 0.6697 0.6697 0.3303

Values from the calculation:
- symmetry = No. 42
- size of the total moment (μB per cell) = 0.000


The following is a DFT calculation (PBE) of a geometry-optimized CuTcSe structure.

Cell: 4.1451 4.1451 4.1451 Å, 60.00 60.00 60.00°
Element x y z (fractional)
Cu 0.0000 0.0000 0.0000
Se 0.5000 0.5000 0.5000
Tc 0.2500 0.2500 0.2500

Values from the calculation:
- symmetry = No. 216
- size of the total moment (μB per cell) = 0.000


The following is a DFT calculation (PBE) of a geometry-optimized CuTcSe structure.

Cell: 4.1516 4.1793 10.4513 Å, 71.98 85.21 44.64°
Element x y z (fractional)
Tc 0.6764 0.5383 0.2716
Tc 0.8957 0.9693 0.1674
Cu 0.5060 0.0592 0.4229
Cu 0.4890 0.8760 0.0022
Se 0.8646 0.2237 0.5285
Se 0.7061 0.2859 0.9071

Values from the calculation:
- symmetry = No. 1
- size of the total moment (μB per cell) = 0.000


The following is a DFT calculation (PBE) of a geometry-optimized CuTc3Se structure.

Cell: 4.5081 4.5081 4.5081 Å, 90.00 90.00 90.00°
Each line ends with the local moment (μB).
Element x y z (fractional)
Cu 0.0000 0.0000 0.0000  0.09
Tc 0.0000 0.5000 0.0000  0.84
Tc 0.0000 0.0000 0.5000  0.97
Tc 0.5000 0.0000 0.0000  0.66
Se 0.5000 0.5000 0.5000  -0.07

Values from the calculation:
- symmetry = No. 221
- size of the total moment (μB per cell) = 2.729


The following is a DFT calculation (PBE) of a geometry-optimized CuTcSe4 structure.

Cell: 5.6260 5.6260 5.6260 Å, 60.00 60.00 60.00°
Each line ends with the local moment (μB).
Element x y z (fractional)
Cu 0.0000 0.0000 0.0000  0.02
Tc 0.7500 0.7500 0.7500  3.46
Se 0.8760 0.3747 0.3747  0.09
Se 0.3747 0.3747 0.8760  0.09
Se 0.3747 0.8760 0.3747  0.09
Se 0.3747 0.3747 0.3747  0.09

Values from the calculation:
- symmetry = No. 216
- size of the total moment (μB per cell) = 4.314


The following is a DFT calculation (PBE) of a geometry-optimized CuTcSe3 structure.

Cell: 4.8794 4.8794 4.8794 Å, 90.00 90.00 90.00°
Element x y z (fractional)
Cu 0.5000 0.5000 0.5000
Tc 0.0000 0.0000 0.0000
Se 0.0000 0.5000 0.0000
Se 0.0000 0.0000 0.5000
Se 0.5000 0.0000 0.0000

Values from the calculation:
- symmetry = No. 221
- size of the total moment (μB per cell) = 0.000


The following is a DFT calculation (PBE) of a geometry-optimized CuTcSe structure.

Cell: 3.0268 3.0268 6.1847 Å, 90.00 90.00 120.00°
Element x y z (fractional)
Cu 0.0000 0.0000 0.9801
Se 0.6667 0.3333 0.3713
Tc 0.3333 0.6667 0.6486

Values from the calculation:
- symmetry = No. 156
- size of the total moment (μB per cell) = 0.000


The following is a DFT calculation (PBE) of a geometry-optimized CuTcSe structure.

Cell: 5.0123 5.0123 5.0123 Å, 143.60 143.60 52.43°
Element x y z (fractional)
Cu 0.9981 0.9981 0.0000
Se 0.3200 0.3200 0.0000
Tc 0.6819 0.6819 0.0000

Values from the calculation:
- symmetry = No. 107
- size of the total moment (μB per cell) = 0.000


The following is a DFT calculation (PBE) of a geometry-optimized Ti2CuTcSe structure.

Cell: 4.6484 4.2528 4.6484 Å, 90.00 90.00 90.00°
Element x y z (fractional)
Cu 0.0000 0.5000 0.0000
Tc 0.5000 0.5000 0.5000
Se 0.0000 0.0000 0.0000
Ti 0.0000 0.0000 0.5000
Ti 0.5000 0.0000 0.0000

Values from the calculation:
- symmetry = No. 123
- size of the total moment (μB per cell) = 0.000


The following is a DFT calculation (PBE) of a geometry-optimized CuTc2WSe structure.

Cell: 4.7628 4.6985 4.7628 Å, 90.00 90.00 90.00°
Each line ends with the local moment (μB).
Element x y z (fractional)
Cu 0.0000 0.5000 0.0000  -0.02
Se 0.5000 0.5000 0.5000  -0.04
Tc 0.0000 0.0000 0.5000  1.38
Tc 0.5000 0.0000 0.0000  1.35
W 0.0000 0.0000 0.0000  -0.44

Values from the calculation:
- symmetry = No. 123
- size of the total moment (μB per cell) = 2.525


The following is a DFT calculation (PBE) of a geometry-optimized Cu3TeSe structure.

Cell: 3.8856 5.7406 8.8862 Å, 108.84 90.00 90.00°
Element x y z (fractional)
Cu 0.7500 0.0867 0.8857
Cu 0.7500 0.5161 0.1040
Cu 0.7500 0.2438 0.6307
Cu 0.2500 0.4121 0.8960
Cu 0.2500 0.2010 0.1143
Cu 0.2500 0.6131 0.3693
Te 0.2500 0.9505 0.6473
Te 0.7500 0.3032 0.3527
Se 0.2500 0.8007 0.1696
Se 0.7500 0.6311 0.8304

Values from the calculation:
- symmetry = No. 40
- size of the total moment (μB per cell) = 0.000


The following is a DFT calculation (PBE) of a geometry-optimized Cu3TeSe structure.

Cell: 6.1551 8.2237 9.6446 Å, 90.00 54.16 90.00°
Element x y z (fractional)
Cu 0.6524 0.0416 0.5531
Cu 0.3476 0.9584 0.4469
Cu 0.8476 0.5416 0.9469
Cu 0.1524 0.4584 0.0531
Cu 0.3770 0.5463 0.7385
Cu 0.6230 0.4537 0.2615
Cu 0.1230 0.0463 0.7615
Cu 0.8770 0.9537 0.2385
Cu 0.9744 0.2081 0.5857
Cu 0.0256 0.7919 0.4143
Cu 0.5256 0.7081 0.9143
Cu 0.4744 0.2919 0.0857
Te 0.4059 0.2948 0.5562
Te 0.5941 0.7052 0.4438
Te 0.0941 0.7948 0.9438
Te 0.9059 0.2052 0.0562
Se 0.6741 0.4060 0.8000
Se 0.3259 0.5940 0.2000
Se 0.8259 0.9060 0.7000
Se 0.1741 0.0940 0.3000

Values from the calculation:
- symmetry = No. 14
- size of the total moment (μB per cell) = 0.000


The following is a DFT calculation (PBE) of a geometry-optimized CuTe2Se structure.

Cell: 4.3905 4.3905 7.5125 Å, 90.00 90.00 126.95°
Element x y z (fractional)
Cu 0.5000 0.5000 0.2500
Se 0.5000 0.5000 0.7500
Te 0.0000 0.0000 0.0246
Te 0.0000 0.0000 0.4754

Values from the calculation:
- symmetry = No. 65
- size of the total moment (μB per cell) = 0.000


The following is a DFT calculation (PBE) of a geometry-optimized CuTe2Se structure.

Cell: 6.0053 6.0053 6.0053 Å, 142.23 90.17 101.93°
Element x y z (fractional)
Cu 0.7500 0.2500 0.5000
Se 0.2500 0.7500 0.5000
Te 0.9746 0.9746 0.0000
Te 0.5254 0.5254 0.0000

Values from the calculation:
- symmetry = No. 71
- size of the total moment (μB per cell) = 0.000


The following is a DFT calculation (PBE) of a geometry-optimized CuTeSe structure.

Cell: 3.7331 6.3106 7.8049 Å, 109.66 103.50 64.78°
Element x y z (fractional)
Cu 0.8236 0.2724 0.5332
Cu 0.1719 0.7243 0.4714
Te 0.7326 0.8090 0.7286
Te 0.2629 0.1877 0.2758
Se 0.4307 0.2703 0.7486
Se 0.5647 0.7264 0.2558

Values from the calculation:
- symmetry = No. 2
- size of the total moment (μB per cell) = 0.000


The following is a DFT calculation (PBE) of a geometry-optimized Cu6TeSe2 structure.

Cell: 7.2084 7.2084 8.1398 Å, 91.76 116.09 117.96°
Element x y z (fractional)
Cu 0.6410 0.4328 0.0579
Cu 0.8749 0.5831 0.4421
Cu 0.3590 0.5672 0.9421
Cu 0.1251 0.4169 0.5579
Cu 0.6070 0.3013 0.5643
Cu 0.2370 0.0427 0.9357
Cu 0.3930 0.6987 0.4357
Cu 0.7630 0.9573 0.0643
Cu 0.6082 0.6270 0.7750
Cu 0.3520 0.8332 0.7250
Cu 0.3918 0.3730 0.2250
Cu 0.6480 0.1668 0.2750
Te 0.2330 0.9830 0.2500
Te 0.7670 0.0170 0.7500
Se 0.3428 0.2415 0.7164
Se 0.0251 0.6264 0.7836
Se 0.6572 0.7585 0.2836
Se 0.9749 0.3736 0.2164

Values from the calculation:
- symmetry = No. 15
- size of the total moment (μB per cell) = 0.000


The following is a DFT calculation (PBE) of a geometry-optimized CuTe2Se structure.

Cell: 5.0486 5.0486 5.0486 Å, 60.00 60.00 60.00°
Element x y z (fractional)
Cu 0.5000 0.5000 0.5000
Se 0.7500 0.7500 0.7500
Te 0.0000 0.0000 0.0000
Te 0.2500 0.2500 0.2500

Values from the calculation:
- symmetry = No. 216
- size of the total moment (μB per cell) = 0.000


The following is a DFT calculation (PBE) of a geometry-optimized CuTe2Se4 structure.

Cell: 8.0487 8.0487 8.0540 Å, 103.76 103.76 121.59°
Element x y z (fractional)
Te 0.4558 0.4809 0.4747
Te 0.0062 0.9811 0.5253
Te 0.2311 0.7562 0.0253
Te 0.7309 0.2058 0.9747
Se 0.4972 0.7602 0.8122
Se 0.0102 0.2472 0.3122
Se 0.9650 0.2775 0.7631
Se 0.5275 0.7150 0.2631
Se 0.4519 0.2644 0.7369
Se 0.9480 0.6850 0.1878
Se 0.9350 0.6980 0.6878
Se 0.5144 0.2019 0.2369
Cu 0.8568 0.3568 0.5000
Cu 0.6068 0.6068 0.0000

Values from the calculation:
- symmetry = No. 43
- size of the total moment (μB per cell) = 0.000


The following is a DFT calculation (PBE) of a geometry-optimized CuTe2Se structure.

Cell: 3.5020 3.5020 7.2201 Å, 90.00 90.00 90.00°
Element x y z (fractional)
Cu 0.5000 0.5000 0.2500
Se 0.5000 0.5000 0.7500
Te 0.0000 0.0000 0.0301
Te 0.0000 0.0000 0.4699

Values from the calculation:
- symmetry = No. 123
- size of the total moment (μB per cell) = 0.000


Number 1: formation energy from raw total energies -1482.8 meV per atom. Number 2: formation energy from raw total energies 524.5 meV per atom. Number 3: formation energy from raw total energies 353.6 meV per atom. Number 4: formation energy from raw total energies 79.3 meV per atom. Number 5: formation energy from raw total energies 1754.4 meV per atom. Number 6: formation energy from raw total energies 1097.9 meV per atom. Number 7: formation energy from raw total energies 631.4 meV per atom. Number 8: formation energy from raw total energies 221.5 meV per atom. Number 9: formation energy from raw total energies 191.2 meV per atom. Number 10: formation energy from raw total energies 573.6 meV per atom. Number 11: formation energy from raw total energies 1659.3 meV per atom. Number 12: formation energy from raw total energies 16.7 meV per atom. Number 13: formation energy from raw total energies -24.2 meV per atom. Number 14: formation energy from raw total energies 253.8 meV per atom. Number 15: formation energy from raw total energies 259.6 meV per atom. Number 16: formation energy from raw total energies -5.2 meV per atom. Number 17: formation energy from raw total energies -19.3 meV per atom. Number 18: formation energy from raw total energies 479.8 meV per atom. Number 19: formation energy from raw total energies 31.5 meV per atom. Number 20: formation energy from raw total energies 375.5 meV per atom.